{"formula": "Rh2PbSe", "functional": "PBE-GGA", "state": "optimized geometry", "lattice_angstrom": [[4.6407, 0.0000, 0.0000], [0.0000, 4.6407, 0.0000], [0.0000, 0.0000, 3.2883]], "species": ["Rh", "Rh", "Pb", "Se"], "fractional_positions": [[0.0000, 0.5000, 0.0000], [0.5000, 0.0000, 0.0000], [0.0000, 0.0000, 0.5000], [0.5000, 0.5000, 0.5000]], "raw_formation_energy_ev_per_atom": 0.1201, "n_ef_per_ev_cell": 5.51, "spacegroup": "P4/mmm"}